Entry from the Alexandria database: a relaxed Th4TlTc crystal (GGA-PBE).

```
Th4TlTc
1.0
0.000 7.029 7.029
7.029 0.000 7.029
7.029 7.029 0.000
Th Tl Tc
16 4 4
Direct
0.058 0.058 0.442 Th
0.058 0.442 0.058 Th
0.058 0.442 0.442 Th
0.189 0.189 0.811 Th
0.189 0.811 0.189 Th
0.189 0.811 0.811 Th
0.212 0.596 0.596 Th
0.442 0.058 0.058 Th
0.442 0.058 0.442 Th
0.442 0.442 0.058 Th
0.596 0.212 0.596 Th
0.596 0.596 0.212 Th
0.596 0.596 0.596 Th
0.811 0.189 0.189 Th
0.811 0.189 0.811 Th
0.811 0.811 0.189 Th
0.503 0.832 0.832 Tl
0.832 0.503 0.832 Tl
0.832 0.832 0.503 Tl
0.832 0.832 0.832 Tl
0.387 0.387 0.387 Tc
0.387 0.387 0.838 Tc
0.387 0.838 0.387 Tc
0.838 0.387 0.387 Tc
```

Values from the calculation:
- DFT total energy (eV/atom) = -7.214
- M_tot (μB/atom) = 0.00
- energy of formation (eV/f.u.) = -0.87
- space-group type = F-43m (216)